# 1
Compound: FeHPt2Se
Source: the Alexandria database
Functional: PBE
Structure: optimized geometry

Unit cell a=4.7242 b=4.7242 c=4.4285 alpha=90.00 beta=90.00 gamma=90.00
Last column: nearest neighbours and their distance in Å.
Fractional coordinates of all 5 atoms:
Fe (0.0000, 0.0000, 0.0000)  2 Se 2.21, 4 Pt 2.36
H (0.5000, 0.5000, 0.5000)  8 Pt 3.24, 4 Se 3.34
Pt (0.0000, 0.5000, 0.0000)  2 Fe 2.36
Pt (0.5000, 0.0000, 0.0000)  2 Fe 2.36
Se (0.0000, 0.0000, 0.5000)  2 Fe 2.21

Computed properties:
VASP energy = -21.17 eV per cell
DOS at the Fermi energy = 4.61 states/eV/f.u.
symmetry = P4/mmm, No. 123

***

# 2
Compound: LiSmSnI6
Source: the Alexandria database
Functional: PBE
Structure: optimized geometry

Unit cell a=7.7004 b=7.7004 c=14.1498 alpha=90.00 beta=90.00 gamma=120.00
Last column: nearest neighbours and their distance in Å.
Fractional coordinates of all 18 atoms:
Li (0.3333, 0.6667, 0.2500)  6 I 3.02
Li (0.6667, 0.3333, 0.7500)  6 I 3.02
Sm (0.3333, 0.6667, 0.7500)  6 I 3.10
Sm (0.6667, 0.3333, 0.2500)  6 I 3.10
Sn (0.0000, 0.0000, 0.0000)  6 I 3.22
Sn (0.0000, 0.0000, 0.5000)  6 I 3.22
I (0.0080, 0.3510, 0.1269)  1 Li 3.02, 1 Sm 3.10, 1 Sn 3.22
I (0.0080, 0.6570, 0.3731)  1 Li 3.02, 1 Sm 3.10, 1 Sn 3.22
I (0.3430, 0.3510, 0.3731)  1 Li 3.02, 1 Sm 3.10, 1 Sn 3.22
I (0.3430, 0.9920, 0.1269)  1 Li 3.02, 1 Sm 3.10, 1 Sn 3.22
I (0.3510, 0.0080, 0.6269)  1 Li 3.02, 1 Sm 3.10, 1 Sn 3.22
I (0.3510, 0.3430, 0.8731)  1 Li 3.02, 1 Sm 3.10, 1 Sn 3.22
I (0.6490, 0.6570, 0.1269)  1 Li 3.02, 1 Sm 3.10, 1 Sn 3.22
I (0.6490, 0.9920, 0.3731)  1 Li 3.02, 1 Sm 3.10, 1 Sn 3.22
I (0.6570, 0.0080, 0.8731)  1 Li 3.02, 1 Sm 3.10, 1 Sn 3.22
I (0.6570, 0.6490, 0.6269)  1 Li 3.02, 1 Sm 3.10, 1 Sn 3.22
I (0.9920, 0.3430, 0.6269)  1 Li 3.02, 1 Sm 3.10, 1 Sn 3.22
I (0.9920, 0.6490, 0.8731)  1 Li 3.02, 1 Sm 3.10, 1 Sn 3.22

Computed properties:
VASP energy = -58.23 eV per cell
raw formation energy = -1020 meV/atom
DOS at the Fermi energy = 0.00 states/eV/f.u.
symmetry = P-31c, No. 163

***

# 3
Compound: SrAg2Ir
Source: the Alexandria database
Functional: PBE
Structure: optimized geometry

Unit cell a=6.1119 b=6.1119 c=4.9885 alpha=113.94 beta=113.94 gamma=30.37
Last column: nearest neighbours and their distance in Å.
Fractional coordinates of all 4 atoms:
Sr (0.0000, 0.0000, 0.0000)  4 Ir 2.96, 2 Sr 3.20
Ag (0.2160, 0.2160, 0.7162)  2 Ir 2.81, 4 Ag 3.05
Ag (0.7840, 0.7840, 0.2838)  2 Ir 2.81, 4 Ag 3.05
Ir (0.5000, 0.5000, 0.5000)  4 Ag 2.81, 4 Sr 2.96

Computed properties:
VASP energy = -15.57 eV per cell
DOS at the Fermi energy = 2.98 states/eV/f.u.
energy of formation = 169.8 meV per atom
polymorph energy (0 for the lowest one) = 104.2 meV per atom
symmetry = C2/m, No. 12

***

# 4
Compound: Zr2ReHRh
Source: the Alexandria database
Functional: PBE
Structure: optimized geometry

Unit cell a=4.6246 b=4.6246 c=3.5041 alpha=90.00 beta=90.00 gamma=90.00
Last column: nearest neighbours and their distance in Å.
Fractional coordinates of all 5 atoms:
Zr (0.0000, 0.5000, 0.0000)  2 H 2.31
Zr (0.5000, 0.0000, 0.0000)  2 H 2.31
Re (0.0000, 0.0000, 0.5000)  8 Zr 2.90
H (0.5000, 0.5000, 0.0000)  2 Rh 1.75
Rh (0.5000, 0.5000, 0.5000)  2 H 1.75

Computed properties:
VASP energy = -42.41 eV per cell
DOS at the Fermi energy = 2.58 states/eV/f.u.
polymorph energy (0 for the lowest one) = 0.0 meV per atom
symmetry = P4/mmm, No. 123

***

# 5
Compound: RbCd2AgSb2
Source: the Alexandria database
Functional: PBE
Structure: optimized geometry

Unit cell a=4.8015 b=4.8015 c=9.1598 alpha=90.00 beta=90.00 gamma=120.00
Last column: nearest neighbours and their distance in Å.
Fractional coordinates of all 6 atoms:
Rb (0.0000, 0.0000, 0.0000)  6 Sb 3.74
Cd (0.3333, 0.6667, 0.3666)  3 Sb 2.90, 3 Ag 3.03
Cd (0.6667, 0.3333, 0.6334)  3 Sb 2.90, 3 Ag 3.03
Ag (0.0000, 0.0000, 0.5000)  6 Cd 3.03
Sb (0.3333, 0.6667, 0.7264)  3 Cd 2.90
Sb (0.6667, 0.3333, 0.2736)  3 Cd 2.90

Computed properties:
VASP energy = -14.81 eV per cell
raw formation energy = -152 meV/atom
DOS at the Fermi energy = 0.97 states/eV/f.u.
symmetry = P-3m1, No. 164

***

# 6
Compound: AlGe6Se8
Source: the Alexandria database
Functional: PBE
Structure: optimized geometry

Unit cell a=7.1864 b=7.1864 c=7.1864 alpha=93.23 beta=93.23 gamma=93.23
Last column: nearest neighbours and their distance in Å.
Fractional coordinates of all 15 atoms:
Al (0.0000, 0.0000, 0.0000)  2 Se 2.48
Ge (0.1929, 0.5756, 0.3608)  3 Se 2.53-2.78
Ge (0.3608, 0.1929, 0.5756)  3 Se 2.53-2.78
Ge (0.4244, 0.6392, 0.8071)  3 Se 2.53-2.78
Ge (0.5756, 0.3608, 0.1929)  3 Se 2.53-2.78
Ge (0.6392, 0.8071, 0.4244)  3 Se 2.53-2.78
Ge (0.8071, 0.4244, 0.6392)  3 Se 2.53-2.78
Se (0.1238, 0.3508, 0.7779)  2 Ge 2.53-2.57
Se (0.2118, 0.2118, 0.2118)  1 Al 2.48
Se (0.2221, 0.8762, 0.6492)  2 Ge 2.53-2.57
Se (0.3508, 0.7779, 0.1238)  2 Ge 2.53-2.57
Se (0.6492, 0.2221, 0.8762)  2 Ge 2.53-2.57
Se (0.7779, 0.1238, 0.3508)  2 Ge 2.53-2.57
Se (0.7882, 0.7882, 0.7882)  1 Al 2.48
Se (0.8762, 0.6492, 0.2221)  2 Ge 2.53-2.57

Computed properties:
VASP energy = -60.53 eV per cell
raw formation energy = -81 meV/atom
DOS at the Fermi energy = 10.85 states/eV/f.u.
symmetry = R-3, No. 148

***

# 7
Compound: Tb2PmPr3Sm6
Source: the Alexandria database
Functional: PBE
Structure: optimized geometry

Unit cell a=6.3097 b=6.3097 c=12.0772 alpha=95.02 beta=95.02 gamma=120.00
Last column: nearest neighbours and their distance in Å.
Fractional coordinates of all 12 atoms:
Tb (0.1666, 0.8334, 0.0000)  6 Sm 3.61, 3 Tb 3.64, 3 Pm 3.64
Tb (0.8334, 0.1666, 0.0000)  6 Sm 3.61, 3 Tb 3.64, 3 Pm 3.64
Pm (0.5000, 0.5000, 0.0000)  6 Sm 3.61, 6 Tb 3.64
Pr (0.0000, 0.0000, 0.5000)  6 Pr 3.64, 6 Sm 3.67
Pr (0.3332, 0.6668, 0.5000)  6 Pr 3.64-3.65, 6 Sm 3.67-3.68
Pr (0.6668, 0.3332, 0.5000)  6 Pr 3.64-3.65, 6 Sm 3.67-3.68
Sm (0.0837, 0.4176, 0.7534)  2 Tb 3.61, 1 Pm 3.61, 6 Sm 3.64-3.65, 3 Pr 3.67-3.68
Sm (0.2485, 0.2485, 0.2466)  2 Tb 3.61, 1 Pm 3.61, 6 Sm 3.64-3.65, 3 Pr 3.67-3.68
Sm (0.4176, 0.0837, 0.7534)  2 Tb 3.61, 1 Pm 3.61, 6 Sm 3.64-3.65, 3 Pr 3.67-3.68
Sm (0.5824, 0.9163, 0.2466)  2 Tb 3.61, 1 Pm 3.61, 6 Sm 3.64-3.65, 3 Pr 3.67-3.68
Sm (0.7515, 0.7515, 0.7534)  2 Tb 3.61, 1 Pm 3.61, 6 Sm 3.64-3.65, 3 Pr 3.67-3.68
Sm (0.9163, 0.5824, 0.2466)  2 Tb 3.61, 1 Pm 3.61, 6 Sm 3.64-3.65, 3 Pr 3.67-3.68

Computed properties:
VASP energy = -56.48 eV per cell
DOS at the Fermi energy = 17.41 states/eV/f.u.
energy of formation = 15.1 meV per atom
symmetry = C2/m, No. 12

***

# 8
Compound: PmH7Rh4
Source: the Alexandria database
Functional: PBE
Structure: optimized geometry

Unit cell a=9.2374 b=5.4260 c=4.6459 alpha=90.00 beta=90.00 gamma=90.00
Last column: nearest neighbours and their distance in Å.
Fractional coordinates of all 24 atoms:
Pm (0.0000, 0.2291, 0.0000)  6 H 2.42-2.57
Pm (0.5000, 0.7709, 0.5000)  6 H 2.42-2.57
H (0.0000, 0.7651, 0.6325)  2 Rh 1.74
H (0.1037, 0.1813, 0.5093)  2 Rh 1.69-1.82
H (0.1320, 0.5904, 0.3339)  3 Rh 1.80-1.83
H (0.1810, 0.9211, 0.8850)  3 Rh 1.80-1.87
H (0.3190, 0.0789, 0.3850)  3 Rh 1.80-1.87
H (0.3680, 0.4096, 0.8339)  3 Rh 1.80-1.83
H (0.3963, 0.8187, 0.0093)  2 Rh 1.69-1.82
H (0.5000, 0.2349, 0.1325)  2 Rh 1.74
H (0.6037, 0.8187, 0.0093)  2 Rh 1.69-1.82
H (0.6320, 0.4096, 0.8339)  3 Rh 1.80-1.83
H (0.6810, 0.0789, 0.3850)  3 Rh 1.80-1.87
H (0.8190, 0.9211, 0.8850)  3 Rh 1.80-1.87
H (0.8680, 0.5904, 0.3339)  3 Rh 1.80-1.83
H (0.8963, 0.1813, 0.5093)  2 Rh 1.69-1.82
Rh (0.1621, 0.8868, 0.5024)  5 H 1.69-1.87
Rh (0.2406, 0.6136, 0.0058)  4 H 1.80-1.84
Rh (0.2594, 0.3864, 0.5058)  4 H 1.80-1.84
Rh (0.3379, 0.1132, 0.0024)  5 H 1.69-1.87
Rh (0.6621, 0.1132, 0.0024)  5 H 1.69-1.87
Rh (0.7406, 0.3864, 0.5058)  4 H 1.80-1.84
Rh (0.7594, 0.6136, 0.0058)  4 H 1.80-1.84
Rh (0.8379, 0.8868, 0.5024)  5 H 1.69-1.87

Computed properties:
VASP energy = -119.85 eV per cell
DOS at the Fermi energy = 2.83 states/eV/f.u.
symmetry = Pmn2_1, No. 31